VASP calculation (PBE+U) on crystalline MoWO3 at its relaxed geometry.

Results
size of the total moment = 6.00 Bohr magnetons per cell
energy = -0.23255 hartree per atom
crystal system = cubic

Cell lengths 4.0103, 4.0103, 4.0103 Å; angles 90.00, 90.00, 90.00 degrees
Closest atoms and distances in Å follow each position.
Space group Pm-3m (No. 221)
Symmetry-distinct sites (fractional):
Mo 0.0000 0.0000 0.0000 (multiplicity 1)  6 O 2.01
W 0.5000 0.5000 0.5000 (multiplicity 1)  12 O 2.84
O 0.0000 0.0000 0.5000 (multiplicity 3)  2 Mo 2.01